Run i
An optimized crystal structure of LiNb2Pt6, computed with GGA-PBE.

Results
Calculated density = 16.017 g/cm3
Calculated volume = 15.7 Å³ per atom
Symmetry = Amm2, No. 38
Total magnetic moment = 0.000 μB/atom

Lattice parameters (Å, degrees): 2.8109 7.6185 7.6185 119.97 90.00 90.00
Sites, in units of the cell vectors:
Li1 0.5000 0.0002 0.0002
Pt1 0.0000 0.7074 0.7074
Nb1 0.0000 0.6663 0.3337
Pt2 0.5000 0.6438 0.0002
Nb2 0.0000 0.3337 0.6663
Pt3 0.5000 0.3552 0.3552
Pt4 0.5000 0.0002 0.6438
Pt5 0.0000 0.9995 0.2937
Pt6 0.0000 0.2937 0.9995


Run ii
An optimized crystal structure of LiNb2Pt6, computed with GGA-PBE.

Results
Calculated density = 14.258 g/cm3
Calculated volume = 17.6 Å³ per atom
Symmetry = Immm, No. 71
Total magnetic moment = 0.000 μB/atom

Lattice parameters (Å, degrees): 3.8757 6.7621 7.2044 117.99 105.64 90.00
Sites, in units of the cell vectors:
Nb1 0.3493 0.3497 0.6994
Pt1 0.1659 0.3948 0.3317
Li1 0.0000 0.0000 0.0000
Pt2 0.8341 0.6052 0.6683
Pt3 0.8341 0.0631 0.6683
Pt4 0.1659 0.9369 0.3317
Pt5 0.5000 0.7761 0.0000
Pt6 0.5000 0.2239 0.0000
Nb2 0.6507 0.6503 0.3006


Relative energies, unit kJ/mol of atoms: run i 0.0; run ii 13.8


Run i
An optimized crystal structure of LiNbPtRh, computed with GGA-PBE.

Results
Calculated density = 10.967 g/cm3
Calculated volume = 15.1 Å³ per atom
Symmetry = F-43m, No. 216
Total magnetic moment = 0.000 μB/atom

Lattice parameters (Å, degrees): 4.4000 4.4000 4.4000 60.00 60.00 60.00
Sites, in units of the cell vectors:
Pt1 0.5000 0.5000 0.5000
Li1 0.7500 0.7500 0.7500
Nb1 0.2500 0.2500 0.2500
Rh1 0.0000 0.0000 0.0000


Run ii
An optimized crystal structure of LiNbPtRh, computed with GGA-PBE.

Results
Calculated density = 11.078 g/cm3
Calculated volume = 14.9 Å³ per atom
Symmetry = I-4m2, No. 119
Total magnetic moment = 0.000 μB/atom

Lattice parameters (Å, degrees): 4.0861 4.0865 4.5938 116.41 116.41 90.00
Sites, in units of the cell vectors:
Pt1 0.7500 0.2500 0.5000
Nb1 0.5000 0.5000 0.0000
Rh1 0.2500 0.7500 0.5000
Li1 0.0000 0.0000 0.0000


Relative energies, unit kJ/mol of atoms: run i 3.7; run ii 0.0


Run i
An optimized crystal structure of Rb2LiNb, computed with GGA-PBE.

Results
Calculated density = 2.486 g/cm3
Calculated volume = 45.2 Å³ per atom
Symmetry = Fm-3m, No. 225
Total magnetic moment = 1.250 μB/atom

Lattice parameters (Å, degrees): 6.3482 6.3482 6.3482 60.00 60.00 60.00
Site moments in Bohr magnetons follow the coordinates.
Sites, in units of the cell vectors:
Li1 0.0000 0.0000 0.0000  -0.01
Rb1 0.7500 0.7500 0.7500  0.04
Nb1 0.5000 0.5000 0.5000  3.17
Rb2 0.2500 0.2500 0.2500  0.04


Run ii
An optimized crystal structure of Rb2LiNb, computed with GGA-PBE.

Results
Calculated density = 2.530 g/cm3
Calculated volume = 44.4 Å³ per atom
Symmetry = I-42d, No. 122
Total magnetic moment = 1.295 μB/atom

Lattice parameters (Å, degrees): 10.1271 10.1271 7.9553 50.47 50.47 90.00
Site moments in Bohr magnetons follow the coordinates.
Sites, in units of the cell vectors:
Rb1 0.3750 0.3924 0.7500  0.04
Rb2 0.1424 0.6250 0.2500  0.04
Rb3 0.6076 0.1250 0.2500  0.04
Nb1 0.0000 0.0000 0.0000  3.10
Nb2 0.7500 0.2500 0.5000  3.10
Rb4 0.8750 0.8576 0.7500  0.04
Li1 0.2500 0.7500 0.5000  0.03
Li2 0.5000 0.5000 0.0000  0.03


Relative energies, unit kJ/mol of atoms: run i 0.0; run ii 4.7


Run i
An optimized crystal structure of RbLiNb3, computed with GGA-PBE.

Results
Calculated density = 5.612 g/cm3
Calculated volume = 22.0 Å³ per atom
Symmetry = Pm-3m, No. 221
Total magnetic moment = 0.209 μB/atom

Lattice parameters (Å, degrees): 4.7888 4.7888 4.7888 90.00 90.00 90.00
Site moments in Bohr magnetons follow the coordinates.
Sites, in units of the cell vectors:
Rb1 0.5000 0.5000 0.5000  0.04
Nb1 0.5000 0.0000 0.0000  0.38
Nb2 0.0000 0.0000 0.5000  0.18
Nb3 0.0000 0.5000 0.0000  0.19
Li1 0.0000 0.0000 0.0000  0.03


Run ii
An optimized crystal structure of RbLiNb3, computed with GGA-PBE.

Results
Calculated density = 5.391 g/cm3
Calculated volume = 22.9 Å³ per atom
Symmetry = Pm-3m, No. 221
Total magnetic moment = 0.000 μB/atom

Lattice parameters (Å, degrees): 4.8532 4.8532 4.8532 90.00 90.00 90.00
Sites, in units of the cell vectors:
Nb1 0.0000 0.0000 0.5000
Nb2 0.5000 0.0000 0.0000
Nb3 0.0000 0.5000 0.0000
Li1 0.5000 0.5000 0.5000
Rb1 0.0000 0.0000 0.0000


Relative energies, unit kJ/mol of atoms: run i 0.0; run ii 80.0


Run i
An optimized crystal structure of LiNb3Re, computed with GGA-PBE.

Results
Calculated density = 9.425 g/cm3
Calculated volume = 16.6 Å³ per atom
Symmetry = Pm-3m, No. 221
Total magnetic moment = 0.000 μB/atom

Lattice parameters (Å, degrees): 4.3645 4.3645 4.3645 90.00 90.00 90.00
Sites, in units of the cell vectors:
Nb1 0.0000 0.5000 0.0000
Nb2 0.5000 0.0000 0.0000
Li1 0.0000 0.0000 0.0000
Re1 0.5000 0.5000 0.5000
Nb3 0.0000 0.0000 0.5000


Run ii
An optimized crystal structure of LiNb3Re, computed with GGA-PBE.

Results
Calculated density = 6.665 g/cm3
Calculated volume = 23.5 Å³ per atom
Symmetry = Pm-3m, No. 221
Total magnetic moment = 0.000 μB/atom

Lattice parameters (Å, degrees): 4.8988 4.8988 4.8988 90.00 90.00 90.00
Sites, in units of the cell vectors:
Li1 0.5000 0.5000 0.5000
Nb1 0.0000 0.5000 0.0000
Nb2 0.0000 0.0000 0.5000
Re1 0.0000 0.0000 0.0000
Nb3 0.5000 0.0000 0.0000


Relative energies, unit kJ/mol of atoms: run i 11.0; run ii 0.0


Run i
An optimized crystal structure of LiNbRe2, computed with GGA-PBE.

Results
Calculated density = 12.586 g/cm3
Calculated volume = 15.6 Å³ per atom
Symmetry = I-42d, No. 122
Total magnetic moment = 0.000 μB/atom

Lattice parameters (Å, degrees): 6.9633 6.9633 5.5542 51.18 51.18 90.00
Sites, in units of the cell vectors:
Re1 0.8750 0.8485 0.7500
Re2 0.5985 0.1250 0.2500
Nb1 0.0000 0.0000 0.0000
Re3 0.3750 0.4015 0.7500
Nb2 0.7500 0.2500 0.5000
Li1 0.2500 0.7500 0.5000
Li2 0.5000 0.5000 0.0000
Re4 0.1515 0.6250 0.2500


Run ii
An optimized crystal structure of LiNbRe2, computed with GGA-PBE.

Results
Calculated density = 13.018 g/cm3
Calculated volume = 15.1 Å³ per atom
Symmetry = Fm-3m, No. 225
Total magnetic moment = 0.000 μB/atom

Lattice parameters (Å, degrees): 4.4002 4.4002 4.4002 60.00 60.00 60.00
Sites, in units of the cell vectors:
Re1 0.2500 0.2500 0.2500
Nb1 0.5000 0.5000 0.5000
Li1 0.0000 0.0000 0.0000
Re2 0.7500 0.7500 0.7500


Relative energies, unit kJ/mol of atoms: run i 52.4; run ii 0.0